Density functional theory data (PBE) for a relaxed structure of KPtO.

Geometry as POSCAR:
```
KPtO
1.0
-3.8787 -0.1548 4.8806
4.8321 -2.0164 3.7762
2.9216 5.1376 2.4849
O Pt K
4 4 4
Cartesian
1.9582 0.3365 7.8270
1.2795 3.9246 6.8333
2.5954 -0.9582 4.3083
1.9167 2.6299 3.3146
-0.0271 2.6748 7.5873
3.9021 0.2916 3.5543
1.4398 3.8085 4.8050
2.4352 -0.8421 6.3366
2.6566 2.2747 9.6931
3.6020 2.1927 6.4579
0.2730 0.7737 4.6837
1.2183 0.6917 1.4484
```

Calculated values
Raw formation energy = -608 meV/atom
Crystal system = monoclinic
Magnetic moment = 0.000 μB/atom
SG = P2_1/c, No. 14



Density functional theory data (PBE) for a relaxed structure of KPt3O4.

Geometry as POSCAR:
```
KPt3O4
1.0
5.8631 0.0000 0.0000
0.0000 5.8631 0.0000
0.0000 0.0000 5.8631
Pt O K
6 8 2
Cartesian
4.3973 0.0000 2.9315
0.0000 2.9315 4.3973
2.9315 4.3973 0.0000
2.9315 1.4658 0.0000
0.0000 2.9315 1.4658
1.4658 0.0000 2.9315
1.4658 4.3973 1.4658
1.4658 4.3973 4.3973
4.3973 1.4658 1.4658
4.3973 1.4658 4.3973
1.4658 1.4658 1.4658
1.4658 1.4658 4.3973
4.3973 4.3973 1.4658
4.3973 4.3973 4.3973
0.0000 0.0000 0.0000
2.9315 2.9315 2.9315
```

Calculated values
Raw formation energy = -618 meV/atom
Crystal system = cubic
Magnetic moment = 0.000 μB/atom
SG = Pm-3n, No. 223



Density functional theory data (PBE) for a relaxed structure of K3PtO8.

Geometry as POSCAR:
```
K3PtO8
1.0
6.4453 0.0319 0.0508
-2.5215 5.9317 -0.0508
-2.5215 -2.6136 5.3250
K O Pt
3 8 1
Cartesian
0.7012 -0.4613 4.0065
-2.5215 1.6590 2.6371
0.7012 3.8113 1.3186
1.3077 0.8118 1.2905
-0.3614 2.8382 4.5115
4.0276 0.1966 0.3125
-3.9349 1.1630 5.0125
0.2016 1.2934 2.0560
-2.2934 -1.0914 4.0346
-2.2934 4.1094 0.7627
-3.9349 4.0150 3.2183
0.0000 0.0000 0.0000
```

Calculated values
Raw formation energy = -570 meV/atom
Crystal system = tetragonal
Magnetic moment = 0.075 μB/atom
SG = I-42m, No. 121